No. 1
Computed, not measured: a geometry-optimized Cs3TmTh2Se6 structure at the PBE level of DFT.

Summary:
DOS(E_F), states/eV/cell: 6.94
Space group: No. 12
ρ, g cm⁻³: 6.2
Formation energy (no corrections), meV per atom: -1573

Structure (extended XYZ):
```
12
Lattice="-1.660 1.889 6.965 -5.376 -2.053 -4.660 3.326 -8.000 1.650" Properties=species:S:1:pos:R:3 pbc="T T T"
Cs -0.623 -2.775 5.832
Cs -3.087 -5.389 -1.877
Cs -1.855 -4.082 1.977
Tm 0.000 0.000 0.000
Se -2.148 -5.961 5.010
Se -0.352 -0.921 2.726
Se -1.561 -2.203 -1.055
Se -4.562 -1.654 2.019
Se 0.852 -6.510 1.935
Se -3.357 -7.243 1.228
Th -4.136 -0.738 -0.782
Th -2.900 0.574 3.086
```

***

No. 2
Computed, not measured: a geometry-optimized Ac4NiOs structure at the PBE level of DFT.

Summary:
DOS(E_F), states/eV/cell: 10.29
Space group: No. 15
ρ, g cm⁻³: 8.9
DFT total energy, eV/atom: -5.669

Structure (extended XYZ):
```
12
Lattice="-5.017 -3.119 4.363 6.629 -1.951 2.566 -0.724 9.289 1.459" Properties=species:S:1:pos:R:3 pbc="T T T"
Os 2.477 -1.938 4.897
Os -1.588 6.157 3.491
Ac 4.629 3.998 3.265
Ac 2.101 0.790 4.244
Ac -0.428 -2.590 5.055
Ac -1.257 -0.082 1.628
Ac 2.145 4.300 6.760
Ac -1.213 3.429 4.143
Ac -3.741 0.220 5.123
Ac 1.316 6.809 3.333
Ni -0.781 3.688 7.004
Ni 1.670 0.530 1.384
```

***

- Which value of ρ does entry 2 give?
  8.9 g cm⁻³